a.
First-principles (PBE) data for FeCoSe3 after structural relaxation, as listed in Alexandria.

Lattice parameters (Å, degrees): 3.5084 4.9253 9.4436 90.00 100.71 90.00
Positions (direct):
Fe 0.8271 0.5259 0.6542
Fe 0.1729 0.0259 0.3458
Co 0.4795 0.0225 0.9590
Co 0.5205 0.5225 0.0410
Se 0.7134 0.3111 0.4269
Se 0.2866 0.8111 0.5731
Se 0.9448 0.7238 0.8895
Se 0.0552 0.2238 0.1105
Se 0.6289 0.7476 0.2578
Se 0.3711 0.2476 0.7422

Results
As for the magnetization: 0.00 μB per formula unit.

=====

b.
First-principles (PBE) data for FeCoSe3 after structural relaxation, as listed in Alexandria.

Lattice parameters (Å, degrees): 4.5933 4.5933 4.5933 90.00 90.00 90.00
Positions (direct):
Co 0.5000 0.5000 0.5000
Fe 0.0000 0.0000 0.0000
Se 0.0000 0.5000 0.0000
Se 0.0000 0.0000 0.5000
Se 0.5000 0.0000 0.0000

Results
As for the magnetization: 0.00 μB per formula unit.

=====

Short version: a is the most stable of them.

=====

a.
First-principles (PBE) data for FeCo3Se after structural relaxation, as listed in Alexandria.

Lattice parameters (Å, degrees): 4.2765 4.2765 4.2765 90.00 90.00 90.00
Each line ends with the local moment (μB).
Positions (direct):
Co 0.0000 0.5000 0.0000  1.24
Co 0.0000 0.0000 0.5000  1.04
Co 0.5000 0.0000 0.0000  1.55
Fe 0.5000 0.5000 0.5000  3.26
Se 0.0000 0.0000 0.0000  0.04

Results
As for the magnetization: 6.98 μB per formula unit.

=====

b.
First-principles (PBE) data for FeCo3Se after structural relaxation, as listed in Alexandria.

Lattice parameters (Å, degrees): 4.3313 4.3313 4.3313 90.00 90.00 90.00
Each line ends with the local moment (μB).
Positions (direct):
Co 0.0000 0.5000 0.0000  2.08
Co 0.0000 0.0000 0.5000  2.12
Co 0.5000 0.0000 0.0000  1.44
Fe 0.0000 0.0000 0.0000  2.54
Se 0.5000 0.5000 0.5000  0.18

Results
As for the magnetization: 8.34 μB per formula unit.

=====

Short version: a is the most stable of them.

=====

a.
First-principles (PBE) data for Fe3CoSe after structural relaxation, as listed in Alexandria.

Lattice parameters (Å, degrees): 4.3262 4.3262 4.3262 90.00 90.00 90.00
Each line ends with the local moment (μB).
Positions (direct):
Co 0.5000 0.5000 0.5000  2.01
Fe 0.0000 0.5000 0.0000  2.33
Fe 0.0000 0.0000 0.5000  2.38
Fe 0.5000 0.0000 0.0000  2.49
Se 0.0000 0.0000 0.0000  -0.01

Results
As for the magnetization: 8.94 μB per formula unit.

=====

b.
First-principles (PBE) data for Fe3CoSe after structural relaxation, as listed in Alexandria.

Lattice parameters (Å, degrees): 4.3732 4.3732 4.3732 90.00 90.00 90.00
Each line ends with the local moment (μB).
Positions (direct):
Co 0.0000 0.0000 0.0000  1.54
Fe 0.0000 0.5000 0.0000  3.11
Fe 0.0000 0.0000 0.5000  3.34
Fe 0.5000 0.0000 0.0000  2.63
Se 0.5000 0.5000 0.5000  0.14

Results
As for the magnetization: 10.90 μB per formula unit.

=====

Short version: b is the most stable of them.

=====

a.
First-principles (PBE) data for FeCo3Si after structural relaxation, as listed in Alexandria.

Lattice parameters (Å, degrees): 4.1298 4.1298 4.1298 90.00 90.00 90.00
Each line ends with the local moment (μB).
Positions (direct):
Si 0.0000 0.0000 0.0000  -0.03
Co 0.0000 0.5000 0.0000  1.16
Co 0.0000 0.0000 0.5000  1.18
Co 0.5000 0.0000 0.0000  1.29
Fe 0.5000 0.5000 0.5000  3.37

Results
As for the magnetization: 6.87 μB per formula unit.

=====

b.
First-principles (PBE) data for FeCo3Si after structural relaxation, as listed in Alexandria.

Lattice parameters (Å, degrees): 4.2115 4.2115 4.2115 90.00 90.00 90.00
Each line ends with the local moment (μB).
Positions (direct):
Si 0.5000 0.5000 0.5000  0.03
Co 0.0000 0.5000 0.0000  1.60
Co 0.0000 0.0000 0.5000  2.00
Co 0.5000 0.0000 0.0000  1.17
Fe 0.0000 0.0000 0.0000  2.26

Results
As for the magnetization: 6.99 μB per formula unit.

=====

Short version: a is the most stable of them.

=====

a.
First-principles (PBE) data for SmFeCo2 after structural relaxation, as listed in Alexandria.

Lattice parameters (Å, degrees): 4.5094 4.8265 12.0001 90.00 90.00 90.00
Each line ends with the local moment (μB).
Positions (direct):
Sm 0.0000 0.2500 0.6911  -0.22
Sm 0.5000 0.7500 0.0940  -0.06
Sm 0.0000 0.7500 0.3089  -0.22
Sm 0.5000 0.2500 0.9060  -0.06
Fe 0.5000 0.7500 0.6700  2.56
Fe 0.5000 0.2500 0.3300  2.56
Fe 0.0000 0.2500 0.4540  2.54
Fe 0.0000 0.7500 0.5460  2.54
Co 0.0000 0.0000 0.0000  -0.44
Co 0.5000 0.5000 0.5000  1.64
Co 0.2468 0.7500 0.8401  1.05
Co 0.7532 0.2500 0.1599  1.05
Co 0.7532 0.7500 0.8401  1.05
Co 0.2468 0.2500 0.1599  1.05
Co 0.0000 0.5000 0.0000  -0.44
Co 0.5000 0.0000 0.5000  1.64

Results
As for the magnetization: 3.91 μB per formula unit.

=====

b.
First-principles (PBE) data for SmFeCo2 after structural relaxation, as listed in Alexandria.

Lattice parameters (Å, degrees): 4.0248 4.0248 5.3889 68.07 68.07 60.00
Each line ends with the local moment (μB).
Positions (direct):
Co 0.8060 0.8060 0.5819  1.23
Co 0.1940 0.1940 0.4181  1.23
Fe 0.5000 0.5000 0.5000  2.23
Sm 0.0000 0.0000 0.0000  -0.24

Results
As for the magnetization: 4.19 μB per formula unit.

=====

Short version: b is the most stable of them.

=====

a.
First-principles (PBE) data for Sm2Fe15Co2 after structural relaxation, as listed in Alexandria.

Lattice parameters (Å, degrees): 6.4420 6.4420 6.4133 82.37 82.37 82.75
Each line ends with the local moment (μB).
Positions (direct):
Co 0.6614 0.1565 0.6600  1.52
Co 0.1565 0.6614 0.6600  1.52
Fe 0.9982 0.7030 0.2968  2.51
Fe 0.7123 0.2889 0.9996  2.51
Fe 0.2950 0.0022 0.7041  2.52
Fe 0.2889 0.7123 0.9996  2.51
Fe 0.7030 0.9982 0.2968  2.51
Fe 0.0022 0.2950 0.7041  2.52
Fe 0.4990 0.0019 0.9997  2.27
Fe 0.9994 0.9994 0.5005  2.31
Fe 0.0019 0.4990 0.9997  2.27
Fe 0.0956 0.0956 0.0963  2.66
Fe 0.9034 0.9034 0.9055  2.67
Fe 0.6576 0.6576 0.1540  2.41
Fe 0.3405 0.8407 0.3424  2.43
Fe 0.8407 0.3405 0.3424  2.43
Fe 0.3442 0.3442 0.8387  2.50
Sm 0.3413 0.3413 0.3398  -0.29
Sm 0.6588 0.6588 0.6600  -0.28

Results
As for the magnetization: 38.71 μB per formula unit.

=====

b.
First-principles (PBE) data for Sm2Fe15Co2 after structural relaxation, as listed in Alexandria.

Lattice parameters (Å, degrees): 6.4334 6.4334 6.4334 82.73 82.73 82.73
Each line ends with the local moment (μB).
Positions (direct):
Sm 0.3409 0.3409 0.3409  -0.30
Sm 0.6591 0.6591 0.6591  -0.30
Fe 0.5000 0.0000 0.0000  2.29
Fe 0.0000 0.0000 0.5000  2.29
Fe 0.0000 0.5000 0.0000  2.29
Fe 0.0000 0.7062 0.2938  2.50
Fe 0.7062 0.2938 0.0000  2.50
Fe 0.2938 0.0000 0.7062  2.50
Fe 0.2938 0.7062 0.0000  2.50
Fe 0.7062 0.0000 0.2938  2.50
Fe 0.0000 0.2938 0.7062  2.50
Fe 0.1548 0.6586 0.6586  2.43
Fe 0.6586 0.6586 0.1548  2.43
Fe 0.6586 0.1548 0.6586  2.43
Fe 0.8452 0.3414 0.3414  2.43
Fe 0.3414 0.3414 0.8452  2.43
Fe 0.3414 0.8452 0.3414  2.43
Co 0.0934 0.0934 0.0934  1.77
Co 0.9066 0.9066 0.9066  1.77

Results
As for the magnetization: 38.60 μB per formula unit.

=====

Short version: a is the most stable of them.

=====

a.
First-principles (PBE) data for FeCoSn2 after structural relaxation, as listed in Alexandria.

Lattice parameters (Å, degrees): 4.3281 5.1673 9.3769 89.73 90.00 90.00
Each line ends with the local moment (μB).
Positions (direct):
Fe 0.0000 0.5000 0.5000  1.64
Fe 0.0000 0.5000 0.0000  1.82
Fe 0.0000 0.0000 0.5000  1.56
Co 0.0000 0.2580 0.2489  -0.26
Co 0.0000 0.7420 0.7511  -0.26
Co 0.0000 0.0000 0.0000  0.53
Sn 0.5000 0.2488 0.0880  -0.03
Sn 0.5000 0.7494 0.5874  -0.05
Sn 0.5000 0.7512 0.9120  -0.03
Sn 0.5000 0.2506 0.4126  -0.05
Sn 0.0000 0.2432 0.7495  -0.07
Sn 0.0000 0.7568 0.2505  -0.07

Results
As for the magnetization: 1.55 μB per formula unit.

=====

b.
First-principles (PBE) data for FeCoSn2 after structural relaxation, as listed in Alexandria.

Lattice parameters (Å, degrees): 3.1029 3.1029 9.3177 80.42 80.42 60.00
Each line ends with the local moment (μB).
Positions (direct):
Co 0.0000 0.0000 0.0000  1.67
Sn 0.0925 0.0925 0.7225  -0.08
Sn 0.9075 0.9075 0.2775  -0.08
Fe 0.5000 0.5000 0.5000  2.12

Results
As for the magnetization: 3.50 μB per formula unit.

=====

c.
First-principles (PBE) data for FeCoSn2 after structural relaxation, as listed in Alexandria.

Lattice parameters (Å, degrees): 4.4555 4.4555 4.4555 60.00 60.00 60.00
Each line ends with the local moment (μB).
Positions (direct):
Co 0.5000 0.5000 0.5000  0.43
Sn 0.2500 0.2500 0.2500  -0.06
Sn 0.7500 0.7500 0.7500  -0.06
Fe 0.0000 0.0000 0.0000  1.32

Results
As for the magnetization: 1.58 μB per formula unit.

=====

Short version: a is the most stable of them.

=====

a.
First-principles (PBE) data for SrFeCo after structural relaxation, as listed in Alexandria.

Lattice parameters (Å, degrees): 4.7768 4.7768 4.7768 60.00 60.00 60.00
Each line ends with the local moment (μB).
Positions (direct):
Co 0.0000 0.0000 0.0000  1.72
Fe 0.5000 0.5000 0.5000  3.05
Sr 0.7500 0.7500 0.7500  -0.07

Results
As for the magnetization: 4.62 μB per formula unit.

=====

b.
First-principles (PBE) data for SrFeCo after structural relaxation, as listed in Alexandria.

Lattice parameters (Å, degrees): 3.9250 3.9250 4.7743 90.00 90.00 120.00
Each line ends with the local moment (μB).
Positions (direct):
Co 0.0000 0.0000 0.1666  1.11
Fe 0.6667 0.3333 0.1667  2.35
Sr 0.3333 0.6667 0.6666  -0.08

Results
As for the magnetization: 3.20 μB per formula unit.

=====

Short version: b is the most stable of them.